(w)
The following is a GGA-PBE calculation of a relaxed KScP2 crystal, from the Alexandria database.

abc: 4.419 4.419 7.002
angles: 103.57 103.57 49.35
Fractional positions:
K: 0.000 0.000 0.000
Sc: 0.500 0.500 0.500
P: 0.233 0.233 0.652
P: 0.767 0.767 0.348

Properties
**Magnetization**: 0.00 μB per cell
**N(E_F)**: 0.5337 states/eV per atom



(x)
The following is a GGA-PBE calculation of a relaxed KScP2 crystal, from the Alexandria database.

abc: 5.022 5.022 5.022
angles: 125.34 125.14 81.14
Fractional positions:
K: 0.000 0.000 0.000
Sc: 0.500 0.500 0.000
P: 0.250 0.750 0.500
P: 0.750 0.250 0.500

Properties
**Magnetization**: 0.00 μB per cell
**N(E_F)**: 0.4537 states/eV per atom



Order from most stable to least stable according to the calculation: (w), (x)



(w)
The following is a GGA-PBE calculation of a relaxed KScP3 crystal, from the Alexandria database.

abc: 5.033 5.033 5.033
angles: 90.00 90.00 90.00
Fractional positions:
K: 0.000 0.000 0.000
Sc: 0.500 0.500 0.500
P: 0.000 0.500 0.500
P: 0.500 0.000 0.500
P: 0.500 0.500 0.000

Properties
**Magnetization**: 0.00 μB per cell
**N(E_F)**: 0.8442 states/eV per atom



(x)
The following is a GGA-PBE calculation of a relaxed KScP3 crystal, from the Alexandria database.

abc: 5.006 5.006 5.006
angles: 90.00 90.00 90.00
Fractional positions:
K: 0.000 0.000 0.000
Sc: 0.500 0.500 0.500
P: 0.000 0.000 0.500
P: 0.000 0.500 0.000
P: 0.500 0.000 0.000

Properties
**Magnetization**: 0.00 μB per cell
**N(E_F)**: 0.8162 states/eV per atom



Order from most stable to least stable according to the calculation: (w), (x)



(w)
The following is a GGA-PBE calculation of a relaxed KSc2P2 crystal, from the Alexandria database.

abc: 7.440 7.440 7.440
angles: 144.13 144.13 51.63
Fractional positions:
K: 0.000 0.000 0.000
Sc: 0.250 0.750 0.500
Sc: 0.750 0.250 0.500
P: 0.340 0.340 0.000
P: 0.660 0.660 0.000

Properties
**Magnetization**: 0.00 μB per cell
**N(E_F)**: 1.0314 states/eV per atom



(x)
The following is a GGA-PBE calculation of a relaxed KSc2P2 crystal, from the Alexandria database.

abc: 7.748 7.748 3.347
angles: 90.00 90.00 90.00
Fractional positions:
K: 0.000 0.000 0.000
K: 0.500 0.500 0.000
Sc: 0.130 0.370 0.000
Sc: 0.370 0.870 0.000
Sc: 0.630 0.130 0.000
Sc: 0.870 0.630 0.000
P: 0.159 0.659 0.500
P: 0.341 0.159 0.500
P: 0.659 0.841 0.500
P: 0.841 0.341 0.500

Properties
**Magnetization**: 1.81 μB per cell
**N(E_F)**: 0.4614 states/eV per atom



Order from most stable to least stable according to the calculation: (w), (x)



(w)
The following is a GGA-PBE calculation of a relaxed K2PSe crystal, from the Alexandria database.

abc: 3.740 3.740 9.723
angles: 90.00 90.00 90.00
Fractional positions:
K: 0.000 0.000 0.000
K: 0.500 0.500 0.433
P: 0.000 0.000 0.685
Se: 0.500 0.500 0.750

Properties
**Magnetization**: 0.00 μB per cell
**N(E_F)**: 0.3521 states/eV per atom



(x)
The following is a GGA-PBE calculation of a relaxed K2PSe crystal, from the Alexandria database.

abc: 2.837 6.058 6.626
angles: 90.00 90.00 90.00
Fractional positions:
K: 0.000 0.000 0.000
K: 0.500 0.500 0.500
P: 0.000 0.000 0.500
Se: 0.500 0.500 0.000

Properties
**Magnetization**: 0.49 μB per cell
**N(E_F)**: 0.6010 states/eV per atom



(y)
The following is a GGA-PBE calculation of a relaxed K2PSe crystal, from the Alexandria database.

abc: 4.773 4.773 6.687
angles: 90.00 90.00 90.00
Fractional positions:
K: 0.000 0.000 0.000
K: 0.500 0.500 0.498
P: 0.000 0.000 0.501
Se: 0.500 0.500 0.998

Properties
**Magnetization**: 3.01 μB per cell
**N(E_F)**: 0.9360 states/eV per atom



(z)
The following is a GGA-PBE calculation of a relaxed K2PSe crystal, from the Alexandria database.

abc: 5.398 5.398 4.058
angles: 90.00 90.00 115.25
Fractional positions:
K: 0.000 0.500 0.000
K: 0.500 0.000 0.000
P: 0.000 0.000 0.500
Se: 0.500 0.500 0.500

Properties
**Magnetization**: 0.00 μB per cell
**N(E_F)**: 0.5743 states/eV per atom



Order from most stable to least stable according to the calculation: (z), (x), (w), (y)



(w)
The following is a GGA-PBE calculation of a relaxed K2PSe crystal, from the Alexandria database.

abc: 6.077 6.077 4.432
angles: 90.11 90.11 49.50
Fractional positions:
K: 0.000 0.000 0.000
K: 0.727 0.727 0.502
P: 0.310 0.310 0.002
Se: 0.417 0.417 0.498

Properties
**Magnetization**: 0.00 μB per cell
**N(E_F)**: 0.0508 states/eV per atom



(x)
The following is a GGA-PBE calculation of a relaxed K2PSe crystal, from the Alexandria database.

abc: 4.595 4.595 4.872
angles: 90.00 90.00 90.00
Fractional positions:
K: 0.000 0.500 0.000
K: 0.500 0.000 0.000
P: 0.000 0.000 0.500
Se: 0.500 0.500 0.500

Properties
**Magnetization**: 0.00 μB per cell
**N(E_F)**: 0.4735 states/eV per atom



(y)
The following is a GGA-PBE calculation of a relaxed K2PSe crystal, from the Alexandria database.

abc: 5.392 5.392 5.392
angles: 60.00 60.00 60.00
Fractional positions:
K: 0.000 0.000 0.000
K: 0.250 0.250 0.250
P: 0.750 0.750 0.750
Se: 0.500 0.500 0.500

Properties
**Magnetization**: 0.00 μB per cell
**N(E_F)**: 0.7838 states/eV per atom



(z)
The following is a GGA-PBE calculation of a relaxed K2PSe crystal, from the Alexandria database.

abc: 9.297 9.297 9.297
angles: 28.50 28.50 28.50
Fractional positions:
K: 0.000 0.000 0.000
K: 0.162 0.162 0.162
P: 0.422 0.422 0.422
Se: 0.740 0.740 0.740

Properties
**Magnetization**: 0.00 μB per cell
**N(E_F)**: 0.4447 states/eV per atom



Order from most stable to least stable according to the calculation: (w), (x), (z), (y)



(w)
The following is a GGA-PBE calculation of a relaxed K2PSe crystal, from the Alexandria database.

abc: 10.427 10.427 10.427
angles: 19.82 19.82 19.82
Fractional positions:
K: 0.250 0.250 0.250
K: 0.750 0.750 0.750
P: 0.500 0.500 0.500
Se: 0.000 0.000 0.000

Properties
**Magnetization**: 0.33 μB per cell
**N(E_F)**: 0.7184 states/eV per atom



(x)
The following is a GGA-PBE calculation of a relaxed K2PSe crystal, from the Alexandria database.

abc: 2.851 4.404 8.662
angles: 90.00 90.00 90.00
Fractional positions:
K: 0.000 0.000 0.245
K: 0.000 0.000 0.755
P: 0.500 0.500 0.500
Se: 0.500 0.500 0.000

Properties
**Magnetization**: 0.00 μB per cell
**N(E_F)**: 0.7449 states/eV per atom



Order from most stable to least stable according to the calculation: (x), (w)



(w)
The following is a GGA-PBE calculation of a relaxed K2PSe crystal, from the Alexandria database.

abc: 6.393 6.393 6.393
angles: 139.57 132.61 64.02
Fractional positions:
K: 0.000 0.000 0.000
K: 0.729 0.229 0.500
P: 0.311 0.811 0.500
Se: 0.419 0.419 0.000

Properties
**Magnetization**: 0.00 μB per cell
**N(E_F)**: 0.2116 states/eV per atom



(x)
The following is a GGA-PBE calculation of a relaxed K2PSe crystal, from the Alexandria database.

abc: 5.863 5.863 5.863
angles: 133.97 133.97 67.14
Fractional positions:
K: 0.250 0.750 0.500
K: 0.750 0.250 0.500
P: 0.000 0.000 0.000
Se: 0.500 0.500 0.000

Properties
**Magnetization**: 0.00 μB per cell
**N(E_F)**: 0.3997 states/eV per atom



(y)
The following is a GGA-PBE calculation of a relaxed K2PSe crystal, from the Alexandria database.

abc: 6.973 6.973 6.973
angles: 99.86 99.86 131.12
Fractional positions:
K: 0.121 0.625 0.996
K: 0.375 0.371 0.496
K: 0.629 0.125 0.004
K: 0.875 0.879 0.504
P: 0.250 0.750 0.500
P: 0.500 0.500 0.000
Se: 0.000 0.000 0.000
Se: 0.750 0.250 0.500

Properties
**Magnetization**: 2.00 μB per cell
**N(E_F)**: 0.6434 states/eV per atom



(z)
The following is a GGA-PBE calculation of a relaxed K2PSe crystal, from the Alexandria database.

abc: 5.620 5.620 5.620
angles: 60.00 60.00 60.00
Fractional positions:
K: 0.250 0.250 0.250
K: 0.750 0.750 0.750
P: 0.000 0.000 0.000
Se: 0.500 0.500 0.500

Properties
**Magnetization**: 2.98 μB per cell
**N(E_F)**: 0.2735 states/eV per atom



Order from most stable to least stable according to the calculation: (w), (x), (y), (z)



(w)
The following is a GGA-PBE calculation of a relaxed K3PSe4 crystal, from the Alexandria database.

abc: 9.702 8.552 7.737
angles: 90.00 90.00 90.00
Fractional positions:
K: 0.000 0.129 0.000
K: 0.235 0.311 0.486
K: 0.265 0.689 0.986
K: 0.500 0.871 0.500
K: 0.735 0.689 0.986
K: 0.765 0.311 0.486
P: 0.000 0.804 0.480
P: 0.500 0.196 0.980
Se: 0.000 0.051 0.575
Se: 0.000 0.796 0.194
Se: 0.190 0.683 0.573
Se: 0.310 0.317 0.073
Se: 0.500 0.204 0.694
Se: 0.500 0.949 0.075
Se: 0.690 0.317 0.073
Se: 0.810 0.683 0.573

Properties
**Magnetization**: 0.00 μB per cell
**N(E_F)**: 0.0000 states/eV per atom



(x)
The following is a GGA-PBE calculation of a relaxed K3PSe4 crystal, from the Alexandria database.

abc: 9.503 11.012 9.901
angles: 90.00 90.00 90.00
Fractional positions:
K: 0.065 0.046 0.195
K: 0.065 0.454 0.195
K: 0.141 0.750 0.420
K: 0.359 0.250 0.920
K: 0.435 0.546 0.695
K: 0.435 0.954 0.695
K: 0.565 0.046 0.305
K: 0.565 0.454 0.305
K: 0.641 0.750 0.080
K: 0.859 0.250 0.580
K: 0.935 0.546 0.805
K: 0.935 0.954 0.805
P: 0.225 0.750 0.977
P: 0.275 0.250 0.477
P: 0.725 0.750 0.523
P: 0.775 0.250 0.023
Se: 0.020 0.750 0.090
Se: 0.154 0.082 0.529
Se: 0.154 0.418 0.529
Se: 0.182 0.750 0.756
Se: 0.318 0.250 0.256
Se: 0.346 0.582 0.029
Se: 0.346 0.918 0.029
Se: 0.480 0.250 0.590
Se: 0.520 0.750 0.410
Se: 0.654 0.082 0.971
Se: 0.654 0.418 0.971
Se: 0.682 0.750 0.744
Se: 0.818 0.250 0.244
Se: 0.846 0.582 0.471
Se: 0.846 0.918 0.471
Se: 0.980 0.250 0.910

Properties
**Magnetization**: 0.00 μB per cell
**N(E_F)**: 0.0000 states/eV per atom



Order from most stable to least stable according to the calculation: (x), (w)



(w)
The following is a GGA-PBE calculation of a relaxed KP2Se3 crystal, from the Alexandria database.

abc: 8.260 8.260 8.260
angles: 50.15 50.15 50.15
Fractional positions:
K: 0.205 0.205 0.205
K: 0.795 0.795 0.795
P: 0.000 0.000 0.000
P: 0.000 0.500 0.500
P: 0.500 0.000 0.500
P: 0.500 0.500 0.000
Se: 0.237 0.237 0.741
Se: 0.237 0.741 0.237
Se: 0.259 0.763 0.763
Se: 0.741 0.237 0.237
Se: 0.763 0.259 0.763
Se: 0.763 0.763 0.259

Properties
**Magnetization**: 0.00 μB per cell
**N(E_F)**: 0.3791 states/eV per atom



(x)
The following is a GGA-PBE calculation of a relaxed KP2Se3 crystal, from the Alexandria database.

abc: 6.935 7.272 8.288
angles: 100.59 99.06 92.06
Fractional positions:
K: 0.225 0.251 0.253
K: 0.775 0.749 0.747
P: 0.219 0.303 0.672
P: 0.279 0.638 0.082
P: 0.721 0.362 0.918
P: 0.781 0.697 0.328
Se: 0.020 0.796 0.135
Se: 0.290 0.603 0.767
Se: 0.466 0.141 0.802
Se: 0.534 0.859 0.198
Se: 0.710 0.397 0.233
Se: 0.980 0.204 0.865

Properties
**Magnetization**: 0.00 μB per cell



Order from most stable to least stable according to the calculation: (x), (w)



(w)
The following is a GGA-PBE calculation of a relaxed KSi3P crystal, from the Alexandria database.

abc: 4.836 4.836 4.836
angles: 90.00 90.00 90.00
Fractional positions:
K: 0.000 0.000 0.000
Si: 0.000 0.500 0.500
Si: 0.500 0.000 0.500
Si: 0.500 0.500 0.000
P: 0.500 0.500 0.500

Properties
**Magnetization**: 0.00 μB per cell
**N(E_F)**: 0.5076 states/eV per atom



(x)
The following is a GGA-PBE calculation of a relaxed KSi3P crystal, from the Alexandria database.

abc: 5.327 5.327 5.327
angles: 90.00 90.00 90.00
Fractional positions:
K: 0.000 0.000 0.000
Si: 0.000 0.000 0.500
Si: 0.000 0.500 0.000
Si: 0.500 0.000 0.000
P: 0.500 0.500 0.500

Properties
**Magnetization**: 0.00 μB per cell
**N(E_F)**: 1.1619 states/eV per atom



Order from most stable to least stable according to the calculation: (w), (x)